Density functional theory data (GGA-PBE) for an optimized crystal structure of Tb5Pm12Sm2.

Lattice parameters (Å, degrees): 7.4763 10.6226 8.8876 80.50 90.00 110.60
Fractional positions:
Tb 0.2525 0.5049 0.4969
Tb 0.3304 0.6608 0.0826
Tb 0.0000 0.0000 0.5000
Tb 0.6696 0.3392 0.9174
Tb 0.7475 0.4951 0.5031
Pm 0.8194 0.6388 0.1006
Pm 0.0610 0.6631 0.7566
Pm 0.6022 0.6631 0.7566
Pm 0.1434 0.7814 0.3572
Pm 0.6379 0.7814 0.3572
Pm 0.4602 0.9204 0.6757
Pm 0.5398 0.0796 0.3243
Pm 0.8566 0.2186 0.6428
Pm 0.3621 0.2186 0.6428
Pm 0.9390 0.3369 0.2434
Pm 0.3978 0.3369 0.2434
Pm 0.1806 0.3612 0.8994
Sm 0.7560 0.0000 0.0000
Sm 0.2440 0.0000 0.0000

## Properties
The mass density comes out at 7.240 g/cm3. Its total magnetic moment is 0.0 μB per formula unit. For the formation energy, the calculation gives 2.755 eV/f.u. As for the symmetry: C2/m (12).

Density functional theory data (GGA-PBE) for an optimized crystal structure of TbPm3Sm.

Lattice parameters (Å, degrees): 6.3630 5.8355 9.7187 90.00 70.95 90.00
Fractional positions:
Tb 0.4479 0.6556 0.9931
Tb 0.5777 0.1556 0.3924
Pm 0.6463 0.6555 0.5917
Pm 0.8457 0.6557 0.1929
Pm 0.9787 0.1556 0.5919
Pm 0.0470 0.6555 0.7935
Pm 0.3794 0.1555 0.7937
Pm 0.1799 0.1557 0.1926
Sm 0.7791 0.1556 0.9932
Sm 0.2466 0.6556 0.3922

## Properties
The mass density comes out at 7.246 g/cm3. Its total magnetic moment is 0.0 μB per formula unit. For the formation energy, the calculation gives 0.118 eV/f.u. As for the symmetry: P2_1/m (11).

Density functional theory data (GGA-PBE) for an optimized crystal structure of Tb4PmSm4.

Lattice parameters (Å, degrees): 10.3201 8.9629 12.5582 96.61 66.18 142.82
Fractional positions:
Tb 0.2252 0.5571 0.6380
Tb 0.5549 0.8870 0.3064
Tb 0.3342 0.3352 0.4170
Tb 0.3343 0.3334 0.9161
Tb 0.6658 0.6648 0.5830
Tb 0.6657 0.6666 0.0839
Tb 0.7748 0.4429 0.3620
Tb 0.4451 0.1130 0.6936
Pm 0.0012 0.0011 0.7494
Pm 0.9988 0.9989 0.2506
Sm 0.1121 0.7790 0.5267
Sm 0.1113 0.7793 0.0270
Sm 0.5556 0.8877 0.8046
Sm 0.2216 0.5545 0.1399
Sm 0.7784 0.4455 0.8601
Sm 0.4444 0.1123 0.1954
Sm 0.8887 0.2207 0.9730
Sm 0.8879 0.2210 0.4733

## Properties
The mass density comes out at 7.707 g/cm3. Its total magnetic moment is 0.0 μB per formula unit. For the formation energy, the calculation gives 0.042 eV/f.u. As for the symmetry: P-1 (2).

Density functional theory data (GGA-PBE) for an optimized crystal structure of Tb2Pm12Sm5.

Lattice parameters (Å, degrees): 7.1822 9.9779 10.5209 70.11 90.00 111.09
Fractional positions:
Tb 0.7226 0.0000 0.0000
Tb 0.2774 0.0000 0.0000
Pm 0.9748 0.9497 0.2443
Pm 0.0874 0.6801 0.8684
Pm 0.5926 0.6801 0.8684
Pm 0.0854 0.6676 0.5227
Pm 0.5823 0.6676 0.5227
Pm 0.5011 0.0022 0.6773
Pm 0.4989 0.9978 0.3227
Pm 0.9146 0.3324 0.4773
Pm 0.4177 0.3324 0.4773
Pm 0.9126 0.3199 0.1316
Pm 0.4074 0.3199 0.1316
Pm 0.0252 0.0503 0.7557
Sm 0.1862 0.3725 0.8149
Sm 0.3249 0.6498 0.2089
Sm 0.0000 0.0000 0.5000
Sm 0.6751 0.3502 0.7911
Sm 0.8138 0.6275 0.1851

## Properties
The mass density comes out at 7.123 g/cm3. Its total magnetic moment is 0.0 μB per formula unit. For the formation energy, the calculation gives 3.202 eV/f.u. As for the symmetry: C2/m (12).

Density functional theory data (GGA-PBE) for an optimized crystal structure of TbPm2Sm4.

Lattice parameters (Å, degrees): 3.6234 3.6234 20.7877 85.00 85.00 60.00
Fractional positions:
Tb 0.0000 0.0000 0.0000
Pm 0.4283 0.4283 0.7151
Pm 0.5717 0.5717 0.2849
Sm 0.1429 0.1429 0.5714
Sm 0.2863 0.2863 0.1410
Sm 0.7137 0.7137 0.8590
Sm 0.8571 0.8571 0.4286

## Properties
The mass density comes out at 7.417 g/cm3. Its total magnetic moment is 0.0 μB per formula unit. For the formation energy, the calculation gives 0.077 eV/f.u. As for the symmetry: R-3m (166).

Density functional theory data (GGA-PBE) for an optimized crystal structure of TbPm4Sm6.

Lattice parameters (Å, degrees): 7.6292 7.6292 8.6489 116.17 116.17 90.00
Fractional positions:
Tb 0.5000 0.5000 0.0000
Pm 0.0928 0.7490 0.8417
Pm 0.9072 0.9072 0.1583
Pm 0.7490 0.0928 0.8417
Pm 0.2510 0.2510 0.1583
Sm 0.9157 0.4582 0.3740
Sm 0.4582 0.9157 0.3740
Sm 0.5418 0.5418 0.6260
Sm 0.0000 0.5000 0.0000
Sm 0.0843 0.0843 0.6260
Sm 0.5000 0.0000 0.0000

## Properties
The mass density comes out at 6.926 g/cm3. Its total magnetic moment is 0.0 μB per formula unit. For the formation energy, the calculation gives 4.252 eV/f.u. As for the symmetry: I-42m (121).

Density functional theory data (GGA-PBE) for an optimized crystal structure of Tb2PmSm.

Lattice parameters (Å, degrees): 5.7285 5.7285 5.7285 60.00 60.00 60.00
Fractional positions:
Tb 0.2500 0.2500 0.2500
Tb 0.7500 0.7500 0.7500
Sm 0.5000 0.5000 0.5000
Pm 0.0000 0.0000 0.0000

## Properties
The mass density comes out at 7.660 g/cm3. Its total magnetic moment is 0.0 μB per formula unit. For the formation energy, the calculation gives 0.541 eV/f.u. As for the symmetry: Fm-3m (225).

Density functional theory data (GGA-PBE) for an optimized crystal structure of Tb3Pm4Sm4.

Lattice parameters (Å, degrees): 5.7499 6.7322 10.6998 90.00 90.00 115.28
Fractional positions:
Tb 0.4060 0.8119 0.2957
Tb 0.4060 0.8119 0.7043
Tb 0.2544 0.5088 0.0000
Pm 0.6208 0.2415 0.5000
Pm 0.5472 0.0945 0.0000
Pm 0.1026 0.2052 0.7032
Pm 0.1026 0.2052 0.2968
Sm 0.7549 0.5098 0.7942
Sm 0.7549 0.5098 0.2058
Sm 0.8910 0.7821 0.5000
Sm 0.9581 0.9163 0.0000

## Properties
The mass density comes out at 7.352 g/cm3. Its total magnetic moment is 0.0 μB per formula unit. For the formation energy, the calculation gives 1.591 eV/f.u. As for the symmetry: Amm2 (38).

Density functional theory data (GGA-PBE) for an optimized crystal structure of TbPm3Sm6.

Lattice parameters (Å, degrees): 7.0631 12.8819 10.0776 148.83 110.51 90.00
Fractional positions:
Tb 0.5000 0.5000 0.0000
Pm 0.6957 0.2333 0.3913
Pm 0.3043 0.7667 0.6086
Pm 0.0000 0.0000 0.0000
Sm 0.3274 0.2994 0.1098
Sm 0.2176 0.7006 0.8902
Sm 0.6726 0.7006 0.8902
Sm 0.7824 0.2994 0.1098
Sm 0.1685 0.8297 0.3370
Sm 0.8315 0.1703 0.6630

## Properties
The mass density comes out at 7.111 g/cm3. Its total magnetic moment is 0.0 μB per formula unit. For the formation energy, the calculation gives 2.706 eV/f.u. As for the symmetry: C2/m (12).

Density functional theory data (GGA-PBE) for an optimized crystal structure of TbPm6Sm3.

Lattice parameters (Å, degrees): 10.0096 10.0096 7.0125 44.46 44.46 60.00
Fractional positions:
Tb 0.8501 0.8501 0.4496
Pm 0.9271 0.6014 0.1986
Pm 0.2729 0.9271 0.1986
Pm 0.6014 0.2729 0.1986
Pm 0.0981 0.4273 0.7016
Pm 0.7730 0.0981 0.7016
Pm 0.4273 0.7730 0.7016
Sm 0.3501 0.3501 0.9496
Sm 0.5998 0.5998 0.2005
Sm 0.1001 0.1001 0.6996

## Properties
The mass density comes out at 7.131 g/cm3. Its total magnetic moment is 0.0 μB per formula unit. For the formation energy, the calculation gives 2.403 eV/f.u. As for the symmetry: R-3 (148).

Density functional theory data (GGA-PBE) for an optimized crystal structure of Tb3Pm3Sm.

Lattice parameters (Å, degrees): 8.9029 8.9029 8.9029 58.85 58.85 58.85
Fractional positions:
Tb 0.7127 0.1744 0.9376
Tb 0.1744 0.9376 0.7127
Tb 0.9376 0.7127 0.1744
Tb 0.0624 0.2873 0.8256
Tb 0.8256 0.0624 0.2873
Tb 0.2873 0.8256 0.0624
Pm 0.7201 0.5665 0.0689
Pm 0.0689 0.7201 0.5665
Pm 0.5665 0.0689 0.7201
Pm 0.4335 0.9311 0.2799
Pm 0.9311 0.2799 0.4335
Pm 0.2799 0.4335 0.9311
Sm 0.3462 0.3462 0.3462
Sm 0.6538 0.6538 0.6538

## Properties
The mass density comes out at 7.261 g/cm3. Its total magnetic moment is 0.0 μB per formula unit. For the formation energy, the calculation gives 1.442 eV/f.u. As for the symmetry: R-3 (148).

Density functional theory data (GGA-PBE) for an optimized crystal structure of TbPmSm2.

Lattice parameters (Å, degrees): 5.1165 5.1169 6.2664 114.10 114.10 90.00
Fractional positions:
Tb 0.5000 0.5000 0.0000
Pm 0.2499 0.7499 0.4997
Sm 0.0000 0.0000 0.0001
Sm 0.7501 0.2501 0.5002

## Properties
The mass density comes out at 7.496 g/cm3. Its total magnetic moment is 0.0 μB per formula unit. For the formation energy, the calculation gives 0.057 eV/f.u. As for the symmetry: I-4m2 (119).

Density functional theory data (GGA-PBE) for an optimized crystal structure of TbPm3Sm6.

Lattice parameters (Å, degrees): 6.4556 11.0632 11.0632 120.50 90.00 90.00
Fractional positions:
Tb 0.1178 0.1922 0.8078
Tb 0.6178 0.8078 0.1922
Pm 0.4623 0.9411 0.7090
Pm 0.9623 0.7090 0.9411
Pm 0.0798 0.3853 0.6147
Pm 0.5798 0.6147 0.3853
Pm 0.9623 0.0589 0.2910
Pm 0.4623 0.2910 0.0589
Sm 0.0557 0.7122 0.6271
Sm 0.5557 0.6271 0.7122
Sm 0.3698 0.5263 0.9435
Sm 0.8698 0.9435 0.5263
Sm 0.3619 0.9642 0.0358
Sm 0.6504 0.2758 0.7242
Sm 0.1504 0.7242 0.2758
Sm 0.8619 0.0358 0.9642
Sm 0.3698 0.0565 0.4737
Sm 0.8698 0.4737 0.0565
Sm 0.0557 0.3729 0.2878
Sm 0.5557 0.2878 0.3729

## Properties
The mass density comes out at 7.298 g/cm3. Its total magnetic moment is 0.0 μB per formula unit. For the formation energy, the calculation gives 1.409 eV/f.u. As for the symmetry: Cmc2_1 (36).

Density functional theory data (GGA-PBE) for an optimized crystal structure of Tb3Pm5Sm.

Lattice parameters (Å, degrees): 9.3979 10.0216 7.3093 90.00 90.00 117.96
Fractional positions:
Tb 0.0000 0.0000 0.0000
Tb 0.8210 0.6422 0.2501
Tb 0.0000 0.0000 0.5000
Tb 0.1790 0.3578 0.7499
Tb 0.8212 0.6422 0.7501
Tb 0.1788 0.3578 0.2499
Pm 0.3050 0.0000 0.7500
Pm 0.5123 0.6715 0.0007
Pm 0.8407 0.3286 0.0005
Pm 0.4877 0.3285 0.9993
Pm 0.5121 0.6714 0.4995
Pm 0.6950 0.0000 0.2500
Pm 0.1592 0.6715 0.5007
Pm 0.8408 0.3285 0.4993
Pm 0.4879 0.3286 0.5005
Pm 0.1593 0.6714 0.9995
Sm 0.6704 0.0000 0.7500
Sm 0.3296 0.0000 0.2500

## Properties
The mass density comes out at 7.385 g/cm3. Its total magnetic moment is 0.0 μB per formula unit. For the formation energy, the calculation gives 1.172 eV/f.u. As for the symmetry: Cmcm (63).

Density functional theory data (GGA-PBE) for an optimized crystal structure of TbPmSm2.

Lattice parameters (Å, degrees): 5.7562 5.7562 5.7562 60.00 60.00 60.00
Fractional positions:
Tb 0.0000 0.0000 0.0000
Sm 0.2500 0.2500 0.2500
Sm 0.7500 0.7500 0.7500
Pm 0.5000 0.5000 0.5000

## Properties
The mass density comes out at 7.445 g/cm3. Its total magnetic moment is 0.0 μB per formula unit. For the formation energy, the calculation gives 0.578 eV/f.u. As for the symmetry: Fm-3m (225).

Density functional theory data (GGA-PBE) for an optimized crystal structure of Tb3PmSm.

Lattice parameters (Å, degrees): 3.6286 8.6276 11.6925 90.00 90.00 102.10
Fractional positions:
Tb 0.8442 0.1892 0.9986
Tb 0.1558 0.8108 0.0014
Tb 0.8442 0.1892 0.5014
Tb 0.1558 0.8108 0.4986
Tb 0.6506 0.7994 0.2500
Tb 0.3494 0.2006 0.7500
Pm 0.3119 0.1234 0.2500
Pm 0.6881 0.8766 0.7500
Sm 0.9860 0.4692 0.2500
Sm 0.0140 0.5308 0.7500

## Properties
The mass density comes out at 7.165 g/cm3. Its total magnetic moment is 0.0 μB per formula unit. For the formation energy, the calculation gives 1.544 eV/f.u. As for the symmetry: P2_1/m (11).

Density functional theory data (GGA-PBE) for an optimized crystal structure of Tb2Pm2Sm5.

Lattice parameters (Å, degrees): 9.8803 9.8803 8.9593 98.80 98.80 20.67
Fractional positions:
Tb 0.8240 0.8240 0.9846
Tb 0.1760 0.1760 0.0154
Pm 0.5692 0.5692 0.6920
Pm 0.4308 0.4308 0.3080
Sm 0.7656 0.7656 0.3327
Sm 0.2344 0.2344 0.6673
Sm 0.9001 0.9001 0.6436
Sm 0.0999 0.0999 0.3564
Sm 0.0000 0.0000 0.0000

## Properties
The mass density comes out at 7.403 g/cm3. Its total magnetic moment is 0.0 μB per formula unit. For the formation energy, the calculation gives 0.889 eV/f.u. As for the symmetry: C2/m (12).

Density functional theory data (GGA-PBE) for an optimized crystal structure of Tb2Pm5Sm6.

Lattice parameters (Å, degrees): 3.6378 11.7931 20.7516 90.00 90.00 90.00
Fractional positions:
Tb 0.0000 0.3297 0.2886
Tb 0.0000 0.6703 0.7114
Tb 0.0000 0.8297 0.2114
Tb 0.0000 0.1703 0.7886
Pm 0.5000 0.3017 0.4468
Pm 0.5000 0.6983 0.5532
Pm 0.5000 0.8017 0.0532
Pm 0.5000 0.1983 0.9468
Pm 0.5000 0.5867 0.2740
Pm 0.5000 0.4133 0.7260
Pm 0.5000 0.0867 0.2260
Pm 0.5000 0.9133 0.7740
Pm 0.5000 0.5000 0.0000
Pm 0.5000 0.0000 0.5000
Sm 0.0000 0.0813 0.3678
Sm 0.0000 0.9187 0.6322
Sm 0.0000 0.5813 0.1322
Sm 0.0000 0.4187 0.8678
Sm 0.5000 0.3249 0.1365
Sm 0.5000 0.6751 0.8635
Sm 0.5000 0.8249 0.3635
Sm 0.5000 0.1751 0.6365
Sm 0.0000 0.5613 0.4199
Sm 0.0000 0.4387 0.5801
Sm 0.0000 0.0613 0.0801
Sm 0.0000 0.9387 0.9199

## Properties
The mass density comes out at 7.256 g/cm3. Its total magnetic moment is 0.0 μB per formula unit. For the formation energy, the calculation gives 1.196 eV/f.u. As for the symmetry: Pbam (55).

Density functional theory data (GGA-PBE) for an optimized crystal structure of Tb12Pm5Sm.

Lattice parameters (Å, degrees): 11.3808 10.4054 5.9942 90.00 90.00 56.85
Fractional positions:
Tb 0.8229 0.0000 0.4467
Tb 0.1771 0.0000 0.5533
Tb 0.6774 0.0000 0.9469
Tb 0.3226 0.0000 0.0531
Tb 0.3438 0.6671 0.9472
Tb 0.9892 0.6671 0.0528
Tb 0.0109 0.3329 0.9472
Tb 0.6562 0.3329 0.0528
Tb 0.5107 0.3333 0.5528
Tb 0.8440 0.6667 0.5528
Tb 0.1560 0.3333 0.4472
Tb 0.4893 0.6667 0.4472
Pm 0.5000 0.0000 0.5000
Pm 0.1666 0.6669 0.5000
Pm 0.8334 0.3331 0.5000
Pm 0.6669 0.6663 0.0000
Pm 0.3332 0.3337 0.0000
Sm 0.0000 0.0000 0.0000

## Properties
The mass density comes out at 7.775 g/cm3. Its total magnetic moment is 0.0 μB per formula unit. For the formation energy, the calculation gives 1.855 eV/f.u. As for the symmetry: C2/m (12).

Density functional theory data (GGA-PBE) for an optimized crystal structure of Tb3Pm2Sm6.

Lattice parameters (Å, degrees): 3.6126 3.6126 32.4769 86.81 86.81 60.00
Fractional positions:
Tb 0.0000 0.0000 0.0000
Tb 0.7267 0.7267 0.8199
Tb 0.2733 0.2733 0.1801
Pm 0.5459 0.5459 0.3622
Pm 0.4541 0.4541 0.6378
Sm 0.9099 0.9099 0.2702
Sm 0.0901 0.0901 0.7298
Sm 0.8181 0.8181 0.5457
Sm 0.1819 0.1819 0.4543
Sm 0.6367 0.6367 0.0900
Sm 0.3633 0.3633 0.9100

## Properties
The mass density comes out at 7.566 g/cm3. Its total magnetic moment is 0.0 μB per formula unit. For the formation energy, the calculation gives 0.140 eV/f.u. As for the symmetry: R-3m (166).